# GGA-PBE RbCu3Ag4Cl12, optimized geometry
# Theoretical density in g/cm3: 3.98
# Calculated total energy in eV/atom: -2.939
data_RbCu3Ag4Cl12
_cell_length_a 9.819
_cell_length_b 9.819
_cell_length_c 9.819
_cell_angle_alpha 90.00
_cell_angle_beta 90.00
_cell_angle_gamma 90.00
_symmetry_space_group_name_H-M 'I m -3'
_symmetry_Int_Tables_number 204
_symmetry_space_group_name_Hall '-I 2 2 3'
loop_
_atom_site_label
_atom_site_type_symbol
_atom_site_fract_x
_atom_site_fract_y
_atom_site_fract_z
Rb1 Rb 0.000 0.000 0.000
Cu1 Cu 0.000 0.000 0.500
Ag1 Ag 0.250 0.250 0.250
Cl1 Cl 0.000 0.163 0.331

# GGA-PBE Rb3Cu2AgCl6, optimized geometry
# Theoretical density in g/cm3: 2.81
# Calculated total energy in eV/atom: -3.222
data_Rb3Cu2AgCl6
_cell_length_a 7.5175
_cell_length_b 7.5175
_cell_length_c 8.5096
_cell_angle_alpha 90.00
_cell_angle_beta 90.00
_cell_angle_gamma 120.00
_symmetry_space_group_name_H-M 'P -3 m 1'
_symmetry_Int_Tables_number 164
_symmetry_space_group_name_Hall '-P 3 2"'
loop_
_atom_site_label
_atom_site_type_symbol
_atom_site_fract_x
_atom_site_fract_y
_atom_site_fract_z
Rb1 Rb 0.0000 0.0000 0.0000
Rb2 Rb 0.3333 0.6667 0.6650
Cu1 Cu 0.3333 0.6667 0.2715
Ag1 Ag 0.0000 0.0000 0.5000
Cl1 Cl 0.1635 0.3270 0.2889

# GGA-PBE Cu2Ag3S2Cl3, optimized geometry
# Theoretical density in g/cm3: 5.02
# Calculated total energy in eV/atom: -3.351
data_Cu2Ag3S2Cl3
_cell_length_a 3.956
_cell_length_b 3.956
_cell_length_c 26.244
_cell_angle_alpha 90.00
_cell_angle_beta 90.00
_cell_angle_gamma 90.00
_symmetry_space_group_name_H-M 'I 4/m m m'
_symmetry_Int_Tables_number 139
_symmetry_space_group_name_Hall '-I 4 2'
loop_
_atom_site_label
_atom_site_type_symbol
_atom_site_fract_x
_atom_site_fract_y
_atom_site_fract_z
Cu1 Cu 0.000 0.500 0.250
Ag1 Ag 0.000 0.000 0.000
Ag2 Ag 0.000 0.000 0.393
S1 S 0.000 0.000 0.296
Cl1 Cl 0.000 0.000 0.102
Cl2 Cl 0.000 0.000 0.500

Q: Number 1 is which compound?
A: RbCu3Ag4Cl12

Q: What is the theoretical density in the second record?
A: 2.81 g/cm3

Q: Which of these has the lowest calculated total energy?
A: Cu2Ag3S2Cl3

Please write out number 1 again, unchanged.
# GGA-PBE RbCu3Ag4Cl12, optimized geometry
# Theoretical density in g/cm3: 3.98
# Calculated total energy in eV/atom: -2.939
data_RbCu3Ag4Cl12
_cell_length_a 9.819
_cell_length_b 9.819
_cell_length_c 9.819
_cell_angle_alpha 90.00
_cell_angle_beta 90.00
_cell_angle_gamma 90.00
_symmetry_space_group_name_H-M 'I m -3'
_symmetry_Int_Tables_number 204
_symmetry_space_group_name_Hall '-I 2 2 3'
loop_
_atom_site_label
_atom_site_type_symbol
_atom_site_fract_x
_atom_site_fract_y
_atom_site_fract_z
Rb1 Rb 0.000 0.000 0.000
Cu1 Cu 0.000 0.000 0.500
Ag1 Ag 0.250 0.250 0.250
Cl1 Cl 0.000 0.163 0.331